# 1
Entry from the Alexandria database: V2Ga2Ge after structural relaxation (GGA-PBE). Values from VASP.

total magnetization	0.00	μB per atom
energy of formation from the pure elements	-0.12	eV per atom
distance to the lowest polymorph of the same formula	0.0000	eV/atom
total energy	-5.898	eV per atom

```
&SYSTEM
  ibrav = 0, nat = 10, ntyp = 3
/
ATOMIC_SPECIES
Ge 72.64 Ge.upf
Ga 69.72 Ga.upf
V 50.94 V.upf
ATOMIC_POSITIONS crystal
Ge 0.000 0.000 0.000
Ge 0.500 0.500 0.000
Ga 0.159 0.659 0.500
Ga 0.659 0.841 0.500
Ga 0.841 0.341 0.500
Ga 0.341 0.159 0.500
V 0.359 0.859 0.000
V 0.859 0.641 0.000
V 0.641 0.141 0.000
V 0.141 0.359 0.000
CELL_PARAMETERS angstrom
6.352 0.000 0.000
0.000 6.352 0.000
0.000 0.000 3.851
```


# 2
Entry from the Alexandria database: RbAg2Bi2O6 after structural relaxation (GGA-PBE). Values from VASP.

E_form (uncorrected)	-8.19	eV per formula unit
total magnetization	0.00	μB per atom
total energy	-4.761	eV per atom

```
&SYSTEM
  ibrav = 0, nat = 11, ntyp = 4
/
ATOMIC_SPECIES
Rb 85.47 Rb.upf
Ag 107.87 Ag.upf
Bi 208.98 Bi.upf
O 16.00 O.upf
ATOMIC_POSITIONS crystal
Rb 0.500 0.000 0.500
Ag 0.036 0.740 0.730
Ag 0.964 0.260 0.270
Bi 0.818 0.351 0.833
Bi 0.182 0.649 0.167
O 0.416 0.743 0.046
O 0.978 0.437 0.130
O 0.138 0.864 0.564
O 0.022 0.563 0.870
O 0.862 0.136 0.436
O 0.584 0.257 0.954
CELL_PARAMETERS angstrom
-3.807 0.504 4.880
-6.911 -1.214 -1.388
4.630 -3.907 4.280
```


# 3
Entry from the Alexandria database: HoTlPb2Cl8 after structural relaxation (GGA-PBE). Values from VASP.

E_form (uncorrected)	-18.03	eV per formula unit
total magnetization	0.00	μB per atom
total energy	-3.930	eV per atom

```
&SYSTEM
  ibrav = 0, nat = 12, ntyp = 4
/
ATOMIC_SPECIES
Ho 164.93 Ho.upf
Tl 204.38 Tl.upf
Pb 207.20 Pb.upf
Cl 35.45 Cl.upf
ATOMIC_POSITIONS crystal
Ho 0.000 0.000 0.000
Tl 0.000 0.000 0.500
Pb 0.500 0.500 0.750
Pb 0.500 0.500 0.250
Cl 0.159 0.770 0.211
Cl 0.690 0.757 0.000
Cl 0.841 0.230 0.211
Cl 0.841 0.230 0.789
Cl 0.310 0.243 0.000
Cl 0.159 0.770 0.789
Cl 0.632 0.724 0.500
Cl 0.368 0.276 0.500
CELL_PARAMETERS angstrom
-1.439 -4.728 -4.750
-1.848 -4.248 4.642
-8.376 3.073 -0.519
```


# 4
Entry from the Alexandria database: LiCa2FeH6 after structural relaxation (GGA-PBE). Values from VASP.

total magnetization	0.09	μB per atom
total energy	-3.882	eV per atom

```
&SYSTEM
  ibrav = 0, nat = 10, ntyp = 4
/
ATOMIC_SPECIES
Li 6.94 Li.upf
Ca 40.08 Ca.upf
Fe 55.84 Fe.upf
H 1.01 H.upf
ATOMIC_POSITIONS crystal
Li 0.500 0.000 0.000
Ca 0.202 0.333 0.667
Ca 0.798 0.667 0.333
Fe 0.000 0.000 0.000
H 0.792 0.157 0.314
H 0.792 0.157 0.843
H 0.792 0.686 0.843
H 0.208 0.843 0.157
H 0.208 0.314 0.157
H 0.208 0.843 0.686
CELL_PARAMETERS angstrom
4.679 0.000 0.000
0.000 4.959 0.000
0.000 -2.479 4.294
```


# 5
Entry from the Alexandria database: B5C7 after structural relaxation (GGA-PBE). Values from VASP.

total magnetization	0.00	μB per atom
energy of formation from the pure elements	0.32	eV per atom
distance to the lowest polymorph of the same formula	0.0640	eV/atom
total energy	-7.841	eV per atom

```
&SYSTEM
  ibrav = 0, nat = 12, ntyp = 2
/
ATOMIC_SPECIES
B 10.81 B.upf
C 12.01 C.upf
ATOMIC_POSITIONS crystal
B 0.643 0.643 0.345
B 0.452 0.452 0.383
B 0.357 0.357 0.146
B 0.202 0.202 0.227
B 0.025 0.025 0.997
C 0.848 0.848 0.013
C 0.673 0.673 0.825
C 0.510 0.510 0.851
C 0.327 0.327 0.672
C 0.165 0.165 0.707
C 0.981 0.981 0.527
C 0.818 0.818 0.557
CELL_PARAMETERS angstrom
-2.042 2.488 3.049
-2.718 0.149 3.500
8.016 -2.093 1.151
```


# 6
Entry from the Alexandria database: NaAlGaAg after structural relaxation (GGA-PBE). Values from VASP.

total magnetization	0.00	μB per atom
energy of formation from the pure elements	0.02	eV per atom
total energy	-2.717	eV per atom

```
&SYSTEM
  ibrav = 0, nat = 4, ntyp = 4
/
ATOMIC_SPECIES
Na 22.99 Na.upf
Ga 69.72 Ga.upf
Ag 107.87 Ag.upf
Al 26.98 Al.upf
ATOMIC_POSITIONS crystal
Na 0.500 0.500 0.500
Ga 0.750 0.750 0.750
Ag 0.250 0.250 0.250
Al 0.000 0.000 0.000
CELL_PARAMETERS angstrom
-1.232 -2.143 4.052
-2.695 -3.905 -0.105
1.879 -4.211 1.124
```


# 7
Entry from the Alexandria database: Ga4ReRh5 after structural relaxation (GGA-PBE). Values from VASP.

total magnetization	0.00	μB per atom
energy of formation from the pure elements	-0.51	eV per atom
total energy	-6.641	eV per atom

```
&SYSTEM
  ibrav = 0, nat = 10, ntyp = 3
/
ATOMIC_SPECIES
Ga 69.72 Ga.upf
Re 186.21 Re.upf
Rh 102.91 Rh.upf
ATOMIC_POSITIONS crystal
Ga 0.000 0.000 0.209
Ga 0.000 0.000 0.403
Ga 0.000 0.000 0.597
Ga 0.000 0.000 0.791
Re 0.000 0.000 0.000
Rh 0.500 0.500 0.109
Rh 0.500 0.500 0.305
Rh 0.500 0.500 0.500
Rh 0.500 0.500 0.695
Rh 0.500 0.500 0.891
CELL_PARAMETERS angstrom
2.876 0.000 0.000
0.000 2.876 0.000
0.000 0.000 17.001
```


# 8
Entry from the Alexandria database: RbUBeN3 after structural relaxation (GGA-PBE). Values from VASP.

E_form (uncorrected)	-5.83	eV per formula unit
total magnetization	0.00	μB per atom
total energy	-7.798	eV per atom

```
&SYSTEM
  ibrav = 0, nat = 12, ntyp = 4
/
ATOMIC_SPECIES
Rb 85.47 Rb.upf
U 238.03 U.upf
Be 9.01 Be.upf
N 14.01 N.upf
ATOMIC_POSITIONS crystal
Rb 0.250 0.217 0.261
Rb 0.750 0.783 0.739
U 0.250 0.682 0.163
U 0.750 0.318 0.837
Be 0.250 0.067 0.597
Be 0.750 0.933 0.403
N 0.750 0.847 0.165
N 0.250 0.153 0.835
N 0.250 0.852 0.447
N 0.750 0.148 0.553
N 0.750 0.498 0.138
N 0.250 0.502 0.862
CELL_PARAMETERS angstrom
3.465 0.000 0.000
0.000 7.930 0.469
0.000 -3.307 7.090
```